First-principles (PBE) data for an optimized crystal structure of B3AsRh6, as listed in Alexandria via LeMat-Bulk.

V (Å³ per atom): 12.54
Energy of formation from the pure elements (eV/atom): -0.327
Theoretical density (kg/m³): 9600
DOS at the Fermi energy (states/eV per atom): 0.606

Cell and atoms, written as POSCAR:
```
B3AsRh6
1.0
3.2687 0.0000 0.0000
0.0000 8.4660 -2.1900
0.0000 -0.7713 9.2599
B Rh As
6 12 2
Cartesian
2.4516 6.7489 2.4440
0.8172 7.3291 5.6579
0.8172 0.9458 4.6259
2.4516 3.8935 5.1043
0.8172 3.8011 1.9657
2.4516 0.3656 1.4120
0.8172 7.4970 -1.5076
2.4516 0.1977 8.5776
2.4516 4.7177 2.9639
0.8172 4.0776 6.6152
0.8172 2.9769 4.1061
2.4516 0.1267 3.5439
2.4516 6.0858 5.2743
2.4516 1.7323 5.8949
0.8172 1.6088 1.7956
0.8172 7.5679 3.5261
0.8172 5.9624 1.1750
2.4516 3.6170 0.4547
2.4516 5.7903 -0.7883
0.8172 1.9043 7.8582
```